# GGA-PBE PtI2BrO, relaxed
data_PtI2BrO
_symmetry_space_group_name_H-M 'P 1'
_symmetry_Int_Tables_number 1
_symmetry_space_group_name_Hall 'P 1'
_cell_length_a 5.703
_cell_length_b 5.703
_cell_length_c 3.895
_cell_angle_alpha 90.00
_cell_angle_beta 90.00
_cell_angle_gamma 90.00
loop_
_atom_site_label
_atom_site_type_symbol
_atom_site_fract_x
_atom_site_fract_y
_atom_site_fract_z
Pt1 Pt 0.000 0.000 0.000
I1 I 0.000 0.500 0.500
I2 I 0.500 0.000 0.500
Br1 Br 0.500 0.500 0.500
O1 O 0.500 0.500 0.000
# E above lowest polymorph = 840 meV/atom
# spin magnetization = 0.4 μB per formula unit
# DOS(E_F) = 1.134 states/eV per atom


# GGA-PBE Rb9I3BrO2, relaxed
data_Rb9I3BrO2
_symmetry_space_group_name_H-M 'P 1'
_symmetry_Int_Tables_number 1
_symmetry_space_group_name_Hall 'P 1'
_cell_length_a 8.287
_cell_length_b 8.287
_cell_length_c 11.168
_cell_angle_alpha 90.00
_cell_angle_beta 90.00
_cell_angle_gamma 120.00
loop_
_atom_site_label
_atom_site_type_symbol
_atom_site_fract_x
_atom_site_fract_y
_atom_site_fract_z
Rb1 Rb 0.000 0.500 0.000
Rb2 Rb 0.177 0.353 0.290
Rb3 Rb 0.177 0.823 0.290
Rb4 Rb 0.353 0.177 0.710
Rb5 Rb 0.500 0.000 0.000
Rb6 Rb 0.500 0.500 0.000
Rb7 Rb 0.647 0.823 0.290
Rb8 Rb 0.823 0.177 0.710
Rb9 Rb 0.823 0.647 0.710
I1 I 0.000 0.000 0.000
I2 I 0.333 0.667 0.726
I3 I 0.667 0.333 0.274
Br1 Br 0.000 0.000 0.500
O1 O 0.333 0.667 0.157
O2 O 0.667 0.333 0.843
# total DFT energy (no corrections) = -2.846 eV per atom
# spin magnetization = 0.0 μB per formula unit
# DOS(E_F) = 0.150 states/eV per atom


# GGA-PBE Rb6I2BrO, relaxed
data_Rb6I2BrO
_symmetry_space_group_name_H-M 'P 1'
_symmetry_Int_Tables_number 1
_symmetry_space_group_name_Hall 'P 1'
_cell_length_a 8.327
_cell_length_b 12.333
_cell_length_c 9.482
_cell_angle_alpha 90.00
_cell_angle_beta 90.00
_cell_angle_gamma 90.00
loop_
_atom_site_label
_atom_site_type_symbol
_atom_site_fract_x
_atom_site_fract_y
_atom_site_fract_z
Rb1 Rb 0.004 0.250 0.086
Rb2 Rb 0.022 0.250 0.506
Rb3 Rb 0.250 0.024 0.278
Rb4 Rb 0.250 0.476 0.278
Rb5 Rb 0.478 0.250 0.506
Rb6 Rb 0.496 0.250 0.086
Rb7 Rb 0.504 0.750 0.914
Rb8 Rb 0.522 0.750 0.494
Rb9 Rb 0.750 0.524 0.722
Rb10 Rb 0.750 0.976 0.722
Rb11 Rb 0.978 0.750 0.494
Rb12 Rb 0.996 0.750 0.914
I1 I 0.250 0.536 0.666
I2 I 0.250 0.964 0.666
I3 I 0.750 0.036 0.334
I4 I 0.750 0.464 0.334
Br1 Br 0.250 0.750 0.209
Br2 Br 0.750 0.250 0.791
O1 O 0.250 0.250 0.287
O2 O 0.750 0.750 0.713
# total DFT energy (no corrections) = -2.741 eV per atom
# spin magnetization = 0.0 μB per formula unit
# DOS(E_F) = 0.231 states/eV per atom


# GGA-PBE Rb5IBr2O, relaxed
data_Rb5IBr2O
_symmetry_space_group_name_H-M 'P 1'
_symmetry_Int_Tables_number 1
_symmetry_space_group_name_Hall 'P 1'
_cell_length_a 9.609
_cell_length_b 9.609
_cell_length_c 9.609
_cell_angle_alpha 146.68
_cell_angle_beta 129.58
_cell_angle_gamma 61.79
loop_
_atom_site_label
_atom_site_type_symbol
_atom_site_fract_x
_atom_site_fract_y
_atom_site_fract_z
Rb1 Rb 0.000 0.000 0.000
Rb2 Rb 0.108 0.377 0.731
Rb3 Rb 0.353 0.623 0.731
Rb4 Rb 0.647 0.377 0.269
Rb5 Rb 0.892 0.623 0.269
I1 I 0.500 0.000 0.500
Br1 Br 0.210 0.210 0.000
Br2 Br 0.790 0.790 0.000
O1 O 0.000 0.500 0.500
# total DFT energy (no corrections) = -3.069 eV per atom
# spin magnetization = 0.0 μB per formula unit


# GGA-PBE Rb2IBr6O, relaxed
data_Rb2IBr6O
_symmetry_space_group_name_H-M 'P 1'
_symmetry_Int_Tables_number 1
_symmetry_space_group_name_Hall 'P 1'
_cell_length_a 7.867
_cell_length_b 7.867
_cell_length_c 7.867
_cell_angle_alpha 122.84
_cell_angle_beta 122.84
_cell_angle_gamma 85.15
loop_
_atom_site_label
_atom_site_type_symbol
_atom_site_fract_x
_atom_site_fract_y
_atom_site_fract_z
Rb1 Rb 0.250 0.750 0.500
Rb2 Rb 0.750 0.250 0.500
I1 I 0.000 0.000 0.000
Br1 Br 0.234 0.234 0.000
Br2 Br 0.279 0.279 0.559
Br3 Br 0.279 0.721 0.000
Br4 Br 0.721 0.279 0.000
Br5 Br 0.721 0.721 0.441
Br6 Br 0.766 0.766 0.000
O1 O 0.500 0.500 0.000
# total DFT energy (no corrections) = -2.385 eV per atom
# spin magnetization = 0.0 μB per formula unit
# DOS(E_F) = 0.208 states/eV per atom


# GGA-PBE Rb7I2BrO2, relaxed
data_Rb7I2BrO2
_symmetry_space_group_name_H-M 'P 1'
_symmetry_Int_Tables_number 1
_symmetry_space_group_name_Hall 'P 1'
_cell_length_a 14.122
_cell_length_b 14.122
_cell_length_c 14.122
_cell_angle_alpha 159.78
_cell_angle_beta 37.68
_cell_angle_gamma 148.55
loop_
_atom_site_label
_atom_site_type_symbol
_atom_site_fract_x
_atom_site_fract_y
_atom_site_fract_z
Rb1 Rb 0.000 0.000 0.000
Rb2 Rb 0.025 0.826 0.199
Rb3 Rb 0.150 0.540 0.610
Rb4 Rb 0.464 0.543 0.921
Rb5 Rb 0.621 0.543 0.079
Rb6 Rb 0.626 0.826 0.801
Rb7 Rb 0.930 0.540 0.390
I1 I 0.126 0.325 0.801
I2 I 0.525 0.325 0.199
Br1 Br 0.338 0.838 0.500
O1 O 0.773 0.871 0.902
O2 O 0.968 0.871 0.098
# total DFT energy (no corrections) = -3.018 eV per atom
# spin magnetization = 0.2 μB per formula unit


# GGA-PBE ReI2BrO, relaxed
data_ReI2BrO
_symmetry_space_group_name_H-M 'P 1'
_symmetry_Int_Tables_number 1
_symmetry_space_group_name_Hall 'P 1'
_cell_length_a 5.633
_cell_length_b 5.633
_cell_length_c 3.781
_cell_angle_alpha 90.00
_cell_angle_beta 90.00
_cell_angle_gamma 90.00
loop_
_atom_site_label
_atom_site_type_symbol
_atom_site_fract_x
_atom_site_fract_y
_atom_site_fract_z
Re1 Re 0.000 0.000 0.000
I1 I 0.000 0.500 0.000
I2 I 0.500 0.000 0.000
Br1 Br 0.500 0.500 0.500
O1 O 0.000 0.000 0.500
# E above lowest polymorph = 0 meV/atom
# spin magnetization = 0.0 μB per formula unit
# DOS(E_F) = 0.599 states/eV per atom


# GGA-PBE ReI2BrO, relaxed
data_ReI2BrO
_symmetry_space_group_name_H-M 'P 1'
_symmetry_Int_Tables_number 1
_symmetry_space_group_name_Hall 'P 1'
_cell_length_a 5.999
_cell_length_b 5.999
_cell_length_c 3.963
_cell_angle_alpha 90.00
_cell_angle_beta 90.00
_cell_angle_gamma 90.00
loop_
_atom_site_label
_atom_site_type_symbol
_atom_site_fract_x
_atom_site_fract_y
_atom_site_fract_z
Re1 Re 0.000 0.000 0.000
I1 I 0.000 0.500 0.500
I2 I 0.500 0.000 0.500
Br1 Br 0.500 0.500 0.500
O1 O 0.500 0.500 0.000
# E above lowest polymorph = 1613 meV/atom
# spin magnetization = 4.9 μB per formula unit
# DOS(E_F) = 0.908 states/eV per atom


# GGA-PBE RuIBrO2, relaxed
data_RuIBrO2
_symmetry_space_group_name_H-M 'P 1'
_symmetry_Int_Tables_number 1
_symmetry_space_group_name_Hall 'P 1'
_cell_length_a 3.965
_cell_length_b 3.965
_cell_length_c 5.779
_cell_angle_alpha 90.00
_cell_angle_beta 90.00
_cell_angle_gamma 90.00
loop_
_atom_site_label
_atom_site_type_symbol
_atom_site_fract_x
_atom_site_fract_y
_atom_site_fract_z
Ru1 Ru 0.000 0.000 0.000
I1 I 0.000 0.000 0.500
Br1 Br 0.500 0.500 0.500
O1 O 0.000 0.500 0.000
O2 O 0.500 0.000 0.000
# E above lowest polymorph = 0 meV/atom
# spin magnetization = 0.0 μB per formula unit
# DOS(E_F) = 1.134 states/eV per atom


# GGA-PBE RuI2BrO, relaxed
data_RuI2BrO
_symmetry_space_group_name_H-M 'P 1'
_symmetry_Int_Tables_number 1
_symmetry_space_group_name_Hall 'P 1'
_cell_length_a 5.840
_cell_length_b 5.840
_cell_length_c 3.934
_cell_angle_alpha 90.00
_cell_angle_beta 90.00
_cell_angle_gamma 90.00
loop_
_atom_site_label
_atom_site_type_symbol
_atom_site_fract_x
_atom_site_fract_y
_atom_site_fract_z
Ru1 Ru 0.000 0.000 0.000
I1 I 0.000 0.500 0.500
I2 I 0.500 0.000 0.500
Br1 Br 0.500 0.500 0.500
O1 O 0.500 0.500 0.000
# E above lowest polymorph = 1184 meV/atom
# spin magnetization = 3.0 μB per formula unit
# DOS(E_F) = 0.588 states/eV per atom


# GGA-PBE RuIBrO2, relaxed
data_RuIBrO2
_symmetry_space_group_name_H-M 'P 1'
_symmetry_Int_Tables_number 1
_symmetry_space_group_name_Hall 'P 1'
_cell_length_a 3.862
_cell_length_b 3.862
_cell_length_c 7.270
_cell_angle_alpha 90.00
_cell_angle_beta 90.00
_cell_angle_gamma 90.00
loop_
_atom_site_label
_atom_site_type_symbol
_atom_site_fract_x
_atom_site_fract_y
_atom_site_fract_z
Ru1 Ru 0.000 0.000 0.000
I1 I 0.500 0.500 0.000
Br1 Br 0.500 0.500 0.500
O1 O 0.000 0.500 0.500
O2 O 0.500 0.000 0.500
# E above lowest polymorph = 1027 meV/atom
# spin magnetization = 1.8 μB per formula unit
# DOS(E_F) = 0.990 states/eV per atom


# GGA-PBE RuI2BrO, relaxed
data_RuI2BrO
_symmetry_space_group_name_H-M 'P 1'
_symmetry_Int_Tables_number 1
_symmetry_space_group_name_Hall 'P 1'
_cell_length_a 5.658
_cell_length_b 5.658
_cell_length_c 3.735
_cell_angle_alpha 90.00
_cell_angle_beta 90.00
_cell_angle_gamma 90.00
loop_
_atom_site_label
_atom_site_type_symbol
_atom_site_fract_x
_atom_site_fract_y
_atom_site_fract_z
Ru1 Ru 0.000 0.000 0.000
I1 I 0.000 0.500 0.000
I2 I 0.500 0.000 0.000
Br1 Br 0.500 0.500 0.500
O1 O 0.000 0.000 0.500
# E above lowest polymorph = 0 meV/atom
# spin magnetization = 0.0 μB per formula unit
# DOS(E_F) = 1.143 states/eV per atom


# GGA-PBE SIBrO2, relaxed
data_SIBrO2
_symmetry_space_group_name_H-M 'P 1'
_symmetry_Int_Tables_number 1
_symmetry_space_group_name_Hall 'P 1'
_cell_length_a 3.878
_cell_length_b 3.878
_cell_length_c 8.286
_cell_angle_alpha 90.00
_cell_angle_beta 90.00
_cell_angle_gamma 90.00
loop_
_atom_site_label
_atom_site_type_symbol
_atom_site_fract_x
_atom_site_fract_y
_atom_site_fract_z
S1 S 0.000 0.000 0.000
I1 I 0.500 0.500 0.000
Br1 Br 0.500 0.500 0.500
O1 O 0.000 0.500 0.500
O2 O 0.500 0.000 0.500
# total DFT energy (no corrections) = -2.816 eV per atom
# spin magnetization = 0.0 μB per formula unit
# DOS(E_F) = 0.768 states/eV per atom